Record 1
A plane-wave DFT calculation with PBE was carried out for an optimized crystal structure of Pm3Dy2Y6Sc.

## Properties
Total magnetic moment in μB per formula unit: 0.000
DFT total energy in eV/atom: -5.6843
Space-group type: C2/m (12)
Energy of formation in eV per atom: 0.03
Density in g cm⁻³: 5.80

a b c (Å): 6.174 6.174 11.785
angles (deg): 95.00 95.00 119.98
Fractional positions:
Pm 0.167 0.833 0.500
Pm 0.833 0.167 0.500
Pm 0.500 0.500 0.500
Dy 0.334 0.666 0.000
Dy 0.666 0.334 0.000
Y 0.919 0.588 0.755
Y 0.750 0.750 0.245
Y 0.081 0.412 0.245
Y 0.588 0.919 0.755
Y 0.250 0.250 0.755
Y 0.412 0.081 0.245
Sc 0.000 0.000 0.000

---

Record 2
A plane-wave DFT calculation with PBE was carried out for an optimized crystal structure of Pm2DyY2Sc.

## Properties
Total magnetic moment in μB per formula unit: 0.000
DFT total energy in eV/atom: -5.4948
Space-group type: Pmma (51)
Energy of formation in eV per atom: 0.07
Density in g cm⁻³: 5.93

a b c (Å): 5.577 7.029 9.650
angles (deg): 90.00 90.00 90.00
Fractional positions:
Pm 0.000 0.257 0.817
Pm 0.500 0.258 0.350
Pm 0.000 0.757 0.183
Pm 0.500 0.758 0.650
Dy 0.000 0.008 0.500
Dy 0.000 0.508 0.500
Y 0.500 0.007 0.000
Y 0.000 0.257 0.158
Y 0.500 0.507 0.000
Y 0.000 0.757 0.842
Sc 0.500 0.258 0.678
Sc 0.500 0.758 0.322

---

Record 3
A plane-wave DFT calculation with PBE was carried out for an optimized crystal structure of PmDyY5Sc2.

## Properties
Total magnetic moment in μB per formula unit: 0.000
DFT total energy in eV/atom: -5.8704
Space-group type: Cmc2_1 (36)
Energy of formation in eV per atom: 0.17
Density in g cm⁻³: 4.93

a b c (Å): 5.628 11.095 9.387
angles (deg): 90.00 90.00 104.69
Fractional positions:
Pm 0.816 0.632 0.519
Pm 0.184 0.368 0.019
Dy 0.598 0.195 0.919
Dy 0.402 0.805 0.419
Y 0.389 0.778 0.046
Y 0.735 0.471 0.836
Y 0.469 0.938 0.748
Y 0.307 0.614 0.716
Y 0.990 0.981 0.515
Y 0.611 0.222 0.546
Y 0.265 0.529 0.336
Y 0.531 0.062 0.248
Y 0.693 0.386 0.216
Y 0.010 0.019 0.015
Sc 0.887 0.774 0.824
Sc 0.136 0.271 0.702
Sc 0.113 0.226 0.324
Sc 0.864 0.729 0.202

---

Record 4
A plane-wave DFT calculation with PBE was carried out for an optimized crystal structure of PmDyY2Sc4.

## Properties
Total magnetic moment in μB per formula unit: 4.159
DFT total energy in eV/atom: -5.5125
Space-group type: Imma (74)
Energy of formation in eV per atom: 0.44
Density in g cm⁻³: 4.70

a b c (Å): 9.110 9.110 11.330
angles (deg): 128.45 128.45 88.16
Site moments in Bohr magnetons follow the coordinates.
Fractional positions:
Pm 0.000 0.500 0.000  0.30
Pm 0.000 0.500 0.500  0.30
Dy 0.500 0.500 0.500  0.33
Dy 0.000 0.000 0.000  0.33
Y 0.500 0.000 0.000  0.23
Y 0.500 0.000 0.500  0.23
Y 0.000 0.000 0.500  0.29
Y 0.500 0.500 0.000  0.29
Sc 0.248 0.750 0.999  0.38
Sc 0.750 0.252 0.501  0.38
Sc 0.250 0.748 0.499  0.38
Sc 0.752 0.250 0.001  0.38
Sc 0.751 0.749 0.998  0.39
Sc 0.751 0.749 0.502  0.39
Sc 0.249 0.251 0.498  0.39
Sc 0.249 0.251 0.002  0.39

---

Record 5
A plane-wave DFT calculation with PBE was carried out for an optimized crystal structure of Pm2Dy4YSc.

## Properties
Total magnetic moment in μB per formula unit: 0.000
DFT total energy in eV/atom: -5.0553
Space-group type: P4/mmm (123)
Energy of formation in eV per atom: 0.03
Density in g cm⁻³: 7.11

a b c (Å): 5.014 5.016 11.158
angles (deg): 63.26 90.00 90.00
Fractional positions:
Pm 0.000 0.000 0.000
Pm 0.500 0.000 0.500
Dy 0.000 0.745 0.755
Dy 0.000 0.255 0.245
Dy 0.500 0.755 0.244
Dy 0.500 0.245 0.756
Y 0.000 0.500 0.500
Sc 0.500 0.500 0.000

---

Record 6
A plane-wave DFT calculation with PBE was carried out for an optimized crystal structure of PmDy6Y2Sc3.

## Properties
Total magnetic moment in μB per formula unit: 0.000
DFT total energy in eV/atom: -5.3110
Space-group type: C2/m (12)
Energy of formation in eV per atom: 0.05
Density in g cm⁻³: 6.62

a b c (Å): 6.057 6.057 11.494
angles (deg): 95.04 95.04 119.98
Fractional positions:
Pm 0.000 0.000 0.000
Dy 0.913 0.580 0.739
Dy 0.754 0.754 0.261
Dy 0.087 0.420 0.261
Dy 0.580 0.913 0.739
Dy 0.246 0.246 0.739
Dy 0.420 0.087 0.261
Y 0.333 0.667 0.000
Y 0.667 0.333 0.000
Sc 0.167 0.833 0.500
Sc 0.833 0.167 0.500
Sc 0.500 0.500 0.500

---

Record 7
A plane-wave DFT calculation with PBE was carried out for an optimized crystal structure of Pm6Dy2YSc.

## Properties
Total magnetic moment in μB per formula unit: 0.000
DFT total energy in eV/atom: -4.9254
Space-group type: C2/c (15)
Energy of formation in eV per atom: 0.12
Density in g cm⁻³: 6.71

a b c (Å): 9.417 8.923 8.923
angles (deg): 118.03 93.28 93.28
Fractional positions:
Pm 0.051 0.126 0.766
Pm 0.449 0.234 0.874
Pm 0.949 0.874 0.234
Pm 0.551 0.766 0.126
Pm 0.304 0.004 0.439
Pm 0.196 0.561 0.996
Pm 0.696 0.996 0.561
Pm 0.804 0.439 0.004
Pm 0.113 0.713 0.492
Pm 0.387 0.508 0.287
Pm 0.887 0.287 0.508
Pm 0.613 0.492 0.713
Dy 0.453 0.795 0.692
Dy 0.047 0.308 0.205
Dy 0.547 0.205 0.308
Dy 0.953 0.692 0.795
Y 0.250 0.976 0.024
Y 0.750 0.024 0.976
Sc 0.250 0.420 0.580
Sc 0.750 0.580 0.420

---

Record 8
A plane-wave DFT calculation with PBE was carried out for an optimized crystal structure of PmDy2Y2Sc.

## Properties
Total magnetic moment in μB per formula unit: 0.000
DFT total energy in eV/atom: -5.4596
Space-group type: Pmma (51)
Energy of formation in eV per atom: 0.08
Density in g cm⁻³: 6.20

a b c (Å): 5.578 6.916 9.625
angles (deg): 90.00 90.00 90.00
Fractional positions:
Pm 0.000 0.008 0.500
Pm 0.000 0.508 0.500
Dy 0.000 0.258 0.827
Dy 0.500 0.258 0.338
Dy 0.000 0.758 0.173
Dy 0.500 0.758 0.662
Y 0.500 0.008 0.000
Y 0.000 0.257 0.162
Y 0.500 0.508 0.000
Y 0.000 0.757 0.838
Sc 0.500 0.258 0.671
Sc 0.500 0.758 0.329

---

Record 9
A plane-wave DFT calculation with PBE was carried out for an optimized crystal structure of Pm6Dy2Y3Sc.

## Properties
Total magnetic moment in μB per formula unit: 0.000
DFT total energy in eV/atom: -5.2628
Space-group type: C2/m (12)
Energy of formation in eV per atom: 0.02
Density in g cm⁻³: 6.45

a b c (Å): 6.219 6.219 11.763
angles (deg): 95.04 95.04 119.99
Fractional positions:
Pm 0.918 0.588 0.754
Pm 0.751 0.751 0.247
Pm 0.082 0.412 0.246
Pm 0.588 0.918 0.754
Pm 0.249 0.249 0.753
Pm 0.412 0.082 0.246
Dy 0.333 0.667 0.000
Dy 0.667 0.333 0.000
Y 0.166 0.834 0.500
Y 0.834 0.166 0.500
Y 0.500 0.500 0.500
Sc 0.000 0.000 0.000

---

Record 10
A plane-wave DFT calculation with PBE was carried out for an optimized crystal structure of PmDy3Y6Sc2.

## Properties
Total magnetic moment in μB per formula unit: 0.000
DFT total energy in eV/atom: -5.7918
Space-group type: C2/m (12)
Energy of formation in eV per atom: 0.04
Density in g cm⁻³: 5.64

a b c (Å): 6.095 6.095 11.671
angles (deg): 94.97 94.97 119.95
Fractional positions:
Pm 0.000 0.000 0.000
Dy 0.167 0.833 0.500
Dy 0.833 0.167 0.500
Dy 0.500 0.500 0.500
Y 0.917 0.582 0.754
Y 0.746 0.746 0.246
Y 0.083 0.418 0.246
Y 0.582 0.917 0.754
Y 0.254 0.254 0.754
Y 0.418 0.083 0.246
Sc 0.333 0.667 0.000
Sc 0.667 0.333 0.000

---

Record 11
A plane-wave DFT calculation with PBE was carried out for an optimized crystal structure of PmDy3YSc.

## Properties
Total magnetic moment in μB per formula unit: 0.000
DFT total energy in eV/atom: -5.0383
Space-group type: C2/m (12)
Energy of formation in eV per atom: 0.19
Density in g cm⁻³: 6.73

a b c (Å): 5.616 10.654 6.561
angles (deg): 93.50 90.00 105.28
Fractional positions:
Pm 0.346 0.692 0.955
Pm 0.654 0.308 0.045
Dy 0.842 0.683 0.234
Dy 0.776 0.551 0.701
Dy 0.480 0.959 0.246
Dy 0.224 0.449 0.299
Dy 0.520 0.041 0.754
Dy 0.158 0.317 0.766
Y 0.063 0.126 0.255
Y 0.937 0.874 0.745
Sc 0.637 0.274 0.483
Sc 0.363 0.726 0.517

---

Record 12
A plane-wave DFT calculation with PBE was carried out for an optimized crystal structure of PmDy2YSc4.

## Properties
Total magnetic moment in μB per formula unit: 0.000
DFT total energy in eV/atom: -5.6648
Space-group type: P4/mmm (123)
Energy of formation in eV per atom: 0.05
Density in g cm⁻³: 5.44

a b c (Å): 4.920 4.925 10.531
angles (deg): 62.12 90.00 90.00
Fractional positions:
Pm 0.000 0.500 0.500
Dy 0.000 0.000 0.000
Dy 0.500 0.000 0.500
Y 0.500 0.500 0.000
Sc 0.000 0.750 0.750
Sc 0.000 0.250 0.250
Sc 0.500 0.750 0.250
Sc 0.500 0.250 0.750

---

Record 13
A plane-wave DFT calculation with PBE was carried out for an optimized crystal structure of PmDy6Y2Sc.

## Properties
Total magnetic moment in μB per formula unit: 0.000
DFT total energy in eV/atom: -5.0338
Space-group type: C2/c (15)
Energy of formation in eV per atom: 0.13
Density in g cm⁻³: 7.05

a b c (Å): 8.734 9.058 9.058
angles (deg): 117.92 90.84 90.84
Fractional positions:
Pm 0.250 0.963 0.037
Pm 0.750 0.037 0.963
Dy 0.055 0.125 0.788
Dy 0.445 0.212 0.875
Dy 0.945 0.875 0.212
Dy 0.555 0.788 0.125
Dy 0.298 0.040 0.461
Dy 0.202 0.539 0.960
Dy 0.702 0.960 0.539
Dy 0.798 0.461 0.040
Dy 0.092 0.731 0.469
Dy 0.408 0.531 0.269
Dy 0.908 0.269 0.531
Dy 0.592 0.469 0.731
Y 0.441 0.789 0.681
Y 0.059 0.319 0.211
Y 0.559 0.211 0.319
Y 0.941 0.681 0.789
Sc 0.250 0.439 0.561
Sc 0.750 0.561 0.439

---

Record 14
A plane-wave DFT calculation with PBE was carried out for an optimized crystal structure of Pm2Dy3Y6Sc.

## Properties
Total magnetic moment in μB per formula unit: 0.000
DFT total energy in eV/atom: -5.6735
Space-group type: C2/m (12)
Energy of formation in eV per atom: 0.03
Density in g cm⁻³: 5.93

a b c (Å): 6.147 6.147 11.782
angles (deg): 94.97 94.97 119.98
Fractional positions:
Pm 0.334 0.666 0.000
Pm 0.666 0.334 0.000
Dy 0.166 0.834 0.500
Dy 0.834 0.166 0.500
Dy 0.500 0.500 0.500
Y 0.917 0.587 0.750
Y 0.752 0.752 0.250
Y 0.083 0.413 0.250
Y 0.587 0.917 0.750
Y 0.248 0.248 0.750
Y 0.413 0.083 0.250
Sc 0.000 0.000 0.000

---

Record 15
A plane-wave DFT calculation with PBE was carried out for an optimized crystal structure of PmDy2Y4Sc.

## Properties
Total magnetic moment in μB per formula unit: 0.000
DFT total energy in eV/atom: -5.7300
Space-group type: P2/m (10)
Energy of formation in eV per atom: 0.04
Density in g cm⁻³: 5.77

a b c (Å): 3.546 6.117 11.724
angles (deg): 79.94 90.00 90.00
Fractional positions:
Pm 0.000 0.500 0.500
Dy 0.000 0.000 0.000
Dy 0.500 0.000 0.500
Y 0.000 0.746 0.757
Y 0.000 0.254 0.243
Y 0.500 0.750 0.246
Y 0.500 0.250 0.754
Sc 0.500 0.500 0.000

---

Record 16
A plane-wave DFT calculation with PBE was carried out for an optimized crystal structure of Pm2DyY5Sc.

## Properties
Total magnetic moment in μB per formula unit: 0.000
DFT total energy in eV/atom: -5.7101
Space-group type: Cmc2_1 (36)
Energy of formation in eV per atom: 0.15
Density in g cm⁻³: 5.37

a b c (Å): 5.561 10.493 10.354
angles (deg): 90.00 90.00 105.37
Fractional positions:
Pm 0.889 0.777 0.814
Pm 0.116 0.232 0.735
Pm 0.111 0.223 0.314
Pm 0.884 0.768 0.235
Dy 0.593 0.187 0.953
Dy 0.407 0.813 0.453
Y 0.368 0.737 0.021
Y 0.730 0.459 0.831
Y 0.482 0.965 0.739
Y 0.299 0.598 0.700
Y 0.984 0.969 0.515
Y 0.632 0.263 0.521
Y 0.270 0.541 0.331
Y 0.518 0.035 0.239
Y 0.701 0.402 0.200
Y 0.016 0.031 0.015
Sc 0.809 0.617 0.517
Sc 0.191 0.383 0.017

---

Record 17
A plane-wave DFT calculation with PBE was carried out for an optimized crystal structure of Pm2Dy2YSc2.

## Properties
Total magnetic moment in μB per formula unit: 0.000
DFT total energy in eV/atom: -5.2925
Space-group type: C2/m (12)
Energy of formation in eV per atom: 0.11
Density in g cm⁻³: 6.12

a b c (Å): 3.439 5.957 11.602
angles (deg): 71.94 90.00 106.78
Fractional positions:
Pm 0.672 0.343 0.910
Pm 0.328 0.657 0.090
Dy 0.453 0.907 0.768
Dy 0.547 0.093 0.232
Y 0.000 0.000 0.500
Sc 0.772 0.545 0.369
Sc 0.228 0.455 0.631

---

Record 18
A plane-wave DFT calculation with PBE was carried out for an optimized crystal structure of PmDy2ZrSc4.

## Properties
Total magnetic moment in μB per formula unit: 0.000
DFT total energy in eV/atom: -5.9214
Space-group type: P2/m (10)
Energy of formation in eV per atom: 0.06
Density in g cm⁻³: 5.73

a b c (Å): 4.795 4.805 10.478
angles (deg): 62.75 90.00 90.00
Fractional positions:
Pm 0.500 0.500 0.000
Dy 0.000 0.000 0.000
Dy 0.500 0.000 0.500
Zr 0.000 0.500 0.500
Sc 0.000 0.762 0.738
Sc 0.000 0.238 0.262
Sc 0.500 0.738 0.262
Sc 0.500 0.262 0.738

---

Record 19
A plane-wave DFT calculation with PBE was carried out for an optimized crystal structure of PmDyZrSc.

## Properties
Total magnetic moment in μB per formula unit: 1.436
DFT total energy in eV/atom: -5.8680
Space-group type: F-43m (216)
Energy of formation in eV per atom: 0.19
Density in g cm⁻³: 6.63

a b c (Å): 5.396 5.396 5.396
angles (deg): 60.00 60.00 60.00
Site moments in Bohr magnetons follow the coordinates.
Fractional positions:
Sc 0.000 0.000 0.000  0.02
Pm 0.750 0.750 0.750  0.14
Zr 0.500 0.500 0.500  0.61
Dy 0.250 0.250 0.250  0.21

---

Record 20
A plane-wave DFT calculation with PBE was carried out for an optimized crystal structure of Pm2Dy3Se4.

## Properties
Total magnetic moment in μB per formula unit: 0.000
DFT total energy in eV/atom: -5.5734
Space-group type: C2/m (12)
Formation energy (no corrections) in kJ per mole of atoms: -138.5
Density in g cm⁻³: 7.59

a b c (Å): 4.035 7.902 9.833
angles (deg): 52.25 78.16 75.21
Fractional positions:
Pm 0.639 0.178 0.545
Pm 0.361 0.822 0.455
Dy 0.000 0.000 0.000
Dy 0.188 0.454 0.170
Dy 0.812 0.546 0.830
Se 0.814 0.165 0.206
Se 0.186 0.835 0.794
Se 0.453 0.324 0.771
Se 0.547 0.676 0.229